#a
A relaxed structure of Sr3Sb5, computed with GGA-PBE.

abc: 6.7904 9.1980 9.3222
angles: 87.29 70.27 82.15
Space group P1 (No. 1)
Inequivalent atoms, fractional coordinates:
Sr: 0.0000 0.0000 0.0000 [1 per cell]
Sr: 0.0112 0.6834 0.6342 [1 per cell]
Sr: 0.4739 0.6790 0.1745 [1 per cell]
Sr: 0.5000 0.0000 0.5001 [1 per cell]
Sr: 0.5264 0.3211 0.8252 [1 per cell]
Sr: 0.9887 0.3164 0.3656 [1 per cell]
Sb: 0.0534 0.9248 0.3441 [1 per cell]
Sb: 0.0636 0.3338 0.7636 [1 per cell]
Sb: 0.2426 0.6518 0.9024 [1 per cell]
Sb: 0.4402 0.3718 0.4336 [1 per cell]
Sb: 0.4616 0.1126 0.1498 [1 per cell]
Sb: 0.5387 0.8878 0.8502 [1 per cell]
Sb: 0.5605 0.6280 0.5651 [1 per cell]
Sb: 0.7586 0.3484 0.0966 [1 per cell]
Sb: 0.9374 0.6658 0.2352 [1 per cell]
Sb: 0.9465 0.0750 0.6557 [1 per cell]

Properties
- size of the total moment (Bohr magnetons per cell) = 0.000
- density of states at the Fermi level (states/eV/cell) = 6.311

=====

#b
A relaxed structure of Sr3Sb5, computed with GGA-PBE.

abc: 9.7798 9.7798 6.4360
angles: 90.00 90.00 120.00
Space group P6_3/mcm (No. 193)
Inequivalent atoms, fractional coordinates:
Sr: 0.0000 0.3840 0.2500 [6 per cell]
Sb: 0.0000 0.1790 0.7500 [6 per cell]
Sb: 0.3333 0.6667 0.0000 [4 per cell]

Properties
- size of the total moment (Bohr magnetons per cell) = 0.000
- density of states at the Fermi level (states/eV/cell) = 7.458

=====

The winner here is #a, beating the second structure by 0.137 eV/atom.